[1]
Density functional theory data (PBE-GGA) for a geometry-optimized SmMgSnPd structure.

Geometry as POSCAR:
```
SmMgSnPd
1.0
0.000 3.555 3.555
3.555 0.000 3.555
3.555 3.555 0.000
Sm Mg Sn Pd
1 1 1 1
Cartesian
0.000 0.000 0.000
3.555 3.555 3.555
1.777 1.777 1.777
5.332 5.332 5.332
```

## Properties
Crystal system = cubic
Spin magnetization = 0.0 μB per formula unit
Formation enthalpy at 0 K = -603 meV/atom

[2]
Density functional theory data (PBE-GGA) for a geometry-optimized AcDy2CuS5 structure.

Geometry as POSCAR:
```
AcDy2CuS5
1.0
-3.771 3.771 6.646
3.771 -3.771 6.646
3.771 3.771 -6.646
Ac Dy Cu S
2 4 2 10
Cartesian
0.000 0.000 3.323
0.000 0.000 9.969
4.977 1.205 0.000
1.205 2.566 0.000
2.566 1.205 6.646
-1.205 2.566 6.646
3.771 0.000 3.323
0.000 3.771 3.323
0.000 0.000 0.000
2.586 1.185 -1.809
2.586 -1.185 4.837
2.586 1.185 1.809
2.586 -1.185 8.455
0.000 0.000 6.646
1.185 4.957 -1.809
1.185 2.586 4.837
1.185 4.957 1.809
1.185 2.586 8.455
```

## Properties
Raw formation energy = -1783 meV/atom
Crystal system = tetragonal
Spin magnetization = 0.0 μB per formula unit